Entry from Alexandria: crystalline Ac5ThZn4 at its relaxed geometry (PBE).

Symmetry = P4/mmm
Theoretical density = 8.6 g cm⁻³
Energy relative to the elements = -15.4 kJ/mol of atoms
DOS(E_F) = 11.3 states/eV/f.u.

POSCAR file:
```
Ac5ThZn4
1.0
-3.2864 -1.1190 -1.7148
1.1698 -3.6875 0.1645
-9.1138 -2.0524 18.8060
Zn Ac Th
4 5 1
Cartesian
-1.9838 -0.4468 4.0935
-7.1300 -1.6057 14.7126
-5.4034 -1.2169 11.1497
-3.7104 -0.8356 7.6563
-2.1807 -2.6560 1.5409
-9.0497 -4.2030 15.7148
-3.9131 -3.0462 5.1156
-5.6152 -3.4295 8.6278
-7.3173 -3.8128 12.1401
0.0000 0.0000 0.0000
```